# meta-GGA SCAN BaZn2W, single point on PBEsol structure
data_BaZn2W
_space_group_name_H-M_alt 'I -4 m 2'
_space_group_IT_number 119
_space_group_name_Hall 'I -4 -2'
_cell_length_a 4.1830
_cell_length_b 4.1830
_cell_length_c 9.4317
_cell_angle_alpha 90.00
_cell_angle_beta 90.00
_cell_angle_gamma 90.00
loop_
_atom_site_label
_atom_site_type_symbol
_atom_site_fract_x
_atom_site_fract_y
_atom_site_fract_z
Ba1 Ba 0.0000 0.0000 0.0000
Zn1 Zn 0.0000 0.0000 0.5000
Zn2 Zn 0.0000 0.5000 0.7500
W1 W 0.0000 0.5000 0.2500
# DFT formation energy	4.9	eV per formula unit
# crystal system	tetragonal
# DOS at the Fermi energy	2.5	states/eV/f.u.
# offset from the most stable computed form	537	meV/atom